[1]
# YAl2Re

Crystalline YAl2Re at its relaxed geometry (PBEsol, Alexandria).

Computed properties:
DFT total energy ... -6.68 eV/atom

Lattice parameters (Å, degrees): 4.077 4.077 9.961 101.81 101.81 90.00
Positions (direct):
Y: 0.750 0.250 0.500
Y: 0.500 0.500 0.000
Re: 0.250 0.750 0.500
Re: 0.000 0.000 0.000
Al: 0.319 0.875 0.250
Al: 0.931 0.375 0.250
Al: 0.125 0.069 0.750
Al: 0.625 0.681 0.750



[2]
# YAlRe2

Crystalline YAlRe2 at its relaxed geometry (PBEsol, Alexandria).

Computed properties:
DFT total energy ... -9.16 eV/atom

Lattice parameters (Å, degrees): 2.791 2.791 8.872 90.00 90.00 108.67
Positions (direct):
Y: 0.500 0.500 0.500
Re: 0.000 0.000 0.225
Re: 0.000 0.000 0.775
Al: 0.500 0.500 0.000



Number 1: E_form 39 kJ per mole of atoms. Number 2: E_form 23 kJ per mole of atoms.